No. 1
The following is a DFT calculation (SCAN) of MoWCl2 at its PBEsol-relaxed geometry.

Lattice parameters (Å, degrees): 2.914 2.914 8.137 90.00 90.00 90.00
Space group P4mm (No. 99)
One atom of each set of equivalent atoms:
Mo (0.000, 0.000, 0.000)
W (0.500, 0.500, 0.229)
Cl (0.000, 0.000, 0.425)
Cl (0.500, 0.500, 0.809)

Output
E_form (uncorrected)   1.0 kJ per mole of atoms
DFT total energy   -120.486 eV/cell
Crystal system   tetragonal



No. 2
The following is a DFT calculation (SCAN) of Mo2WCl at its PBEsol-relaxed geometry.

Lattice parameters (Å, degrees): 2.965 2.965 6.930 90.00 90.00 90.00
Space group P4mm (No. 99)
One atom of each set of equivalent atoms:
Mo (0.000, 0.000, 0.000)
Mo (0.500, 0.500, 0.237)
W (0.000, 0.000, 0.482)
Cl (0.500, 0.500, 0.743)

Output
E_form (uncorrected)   54.4 kJ per mole of atoms
DFT total energy   -145.182 eV/cell
Crystal system   tetragonal



No. 3
The following is a DFT calculation (SCAN) of MoWCl2 at its PBEsol-relaxed geometry.

Lattice parameters (Å, degrees): 3.022 4.295 13.084 90.00 90.00 90.00
Space group Immm (No. 71)
One atom of each set of equivalent atoms:
Mo (0.000, 0.000, 0.000)
W (0.000, 0.000, 0.500)
Cl (0.000, 0.500, 0.151)

Output
E_form (uncorrected)   38.0 kJ per mole of atoms
DFT total energy   -237.907 eV/cell
Crystal system   orthorhombic



No. 4
The following is a DFT calculation (SCAN) of Mo2WCl at its PBEsol-relaxed geometry.

Lattice parameters (Å, degrees): 2.8545 2.8545 25.8958 90.00 90.00 120.00
Space group R-3m (No. 166, hexagonal axes)
One atom of each set of equivalent atoms:
Mo (0.0000, 0.0000, 0.2466)
W (0.0000, 0.0000, 0.0000)
Cl (0.0000, 0.0000, 0.5000)

Output
E_form (uncorrected)   42.8 kJ per mole of atoms
DFT total energy   -436.984 eV/cell
Crystal system   trigonal



Which value of E_form (uncorrected) does entry 3 give? 38.0 kJ per mole of atoms